! RbB2MoF8 | Alexandria | PBE with a Hubbard U | relaxed; values from VASP
! Total moment in μB per formula unit: 1.0
! DFT total energy in eV/atom: -5.4177
! Symmetry: No. 148
&SYSTEM
  ibrav = 0, nat = 12, ntyp = 4
/
ATOMIC_SPECIES
Rb 85.47 Rb.upf
B 10.81 B.upf
Mo 95.94 Mo.upf
F 19.00 F.upf
ATOMIC_POSITIONS angstrom
Rb 0.000 0.000 0.000
B 0.000 0.000 5.722
B 0.000 0.000 17.063
Mo 0.000 0.000 11.392
F -2.107 -0.324 9.932
F -0.773 -1.986 12.853
F 0.000 0.000 7.139
F -1.334 1.663 12.853
F 1.334 -1.663 9.932
F 0.000 0.000 15.646
F 0.773 1.986 9.932
F 2.107 0.324 12.853
CELL_PARAMETERS angstrom
2.670 1.542 7.595
-2.670 1.542 7.595
0.000 -3.084 7.595